Record 1
DFT (PBE) results for a relaxed structure of ZnAs2Pt.

Cell: 2.890 2.890 8.716 Å, 90.00 90.00 90.00°
Space group P4mm (No. 99)
Symmetry-distinct sites (fractional):
Zn 0.000 0.000 0.000
As 0.000 0.000 0.587
As 0.500 0.500 0.231
Pt 0.500 0.500 0.788

Calculated formation energy, meV/atom: -36

Record 2
DFT (PBE) results for a relaxed structure of Sn2SbAu4.

Cell: 6.605 5.840 8.459 Å, 90.00 106.37 90.00°
Space group P2_1/m (No. 11)
Symmetry-distinct sites (fractional):
Sn 0.051 0.250 0.333
Sn 0.215 0.750 0.077
Sb 0.433 0.750 0.532
Au 0.017 0.750 0.341
Au 0.234 0.250 0.063
Au 0.367 0.002 0.805

Uncorrected formation energy, eV per atom: -0.069

Record 3
DFT (PBE) results for a relaxed structure of ZnAg2Sb.

Cell: 3.366 4.932 9.489 Å, 90.00 90.00 90.00°
Space group Immm (No. 71)
Symmetry-distinct sites (fractional):
Zn 0.000 0.000 0.000
Ag 0.000 0.500 0.271
Sb 0.000 0.000 0.500

Uncorrected formation energy, eV per atom: 0.129

Record 4
DFT (PBE) results for a relaxed structure of ZrIr3.

Cell: 2.873 9.041 4.902 Å, 90.00 90.00 90.00°
Space group Imm2 (No. 44)
Symmetry-distinct sites (fractional):
Zr 0.000 0.000 0.000
Ir 0.000 0.245 0.666
Ir 0.000 0.500 0.998

Calculated formation energy, meV/atom: -435

Record 5
DFT (PBE) results for a relaxed structure of PmNp2P3.

Cell: 8.026 11.352 24.066 Å, 90.00 90.00 90.00°
Space group Fddd (No. 70, origin choice 2)
Symmetry-distinct sites (fractional):
Pm 0.125 0.125 0.042
Np 0.125 0.125 0.374
Np 0.125 0.125 0.541
P 0.114 0.375 0.875
P 0.119 0.370 0.706

Calculated formation energy, meV/atom: -1091

Record 6
DFT (PBE) results for a relaxed structure of LiHg2Os.

Cell: 10.512 2.937 4.880 Å, 90.00 108.98 90.00°
Space group Cm (No. 8)
Symmetry-distinct sites (fractional):
Li 0.000 0.000 0.000
Hg 0.025 0.500 0.540
Hg 0.262 0.500 0.118
Os 0.269 0.000 0.618

Calculated formation energy, meV/atom: 388

Record 7
DFT (PBE) results for a relaxed structure of KNa3TlHg.

Cell: 8.390 15.669 6.793 Å, 90.00 90.00 90.00°
Space group Cmcm (No. 63)
Symmetry-distinct sites (fractional):
K 0.000 0.217 0.250
Na 0.000 0.352 0.750
Na 0.196 0.000 0.000
Tl 0.000 0.439 0.250
Hg 0.000 0.146 0.750

Calculated formation energy, meV/atom: -61

Record 8
DFT (PBE) results for a relaxed structure of Ni2PdPt3.

Cell: 2.740 2.740 11.319 Å, 90.00 90.00 90.00°
Space group P4/mmm (No. 123)
Symmetry-distinct sites (fractional):
Ni 0.000 0.000 0.160
Pd 0.000 0.000 0.500
Pt 0.500 0.500 0.000
Pt 0.500 0.500 0.317

Calculated formation energy, meV/atom: -91

Record 9
DFT (PBE) results for a relaxed structure of Rb3Pu3CoSe8.

Cell: 8.2191 8.2191 24.4314 Å, 90.00 90.00 120.00°
Space group R-3m (No. 166, hexagonal axes)
Symmetry-distinct sites (fractional):
Rb 0.0000 0.5000 0.0000
Pu 0.0000 0.5000 0.5000
Co 0.0000 0.0000 0.5000
Se 0.0000 0.0000 0.2327
Se 0.0366 0.5183 0.2244

Uncorrected formation energy, eV per atom: -1.132

Record 10
DFT (PBE) results for a relaxed structure of MgGe4Pt2.

Cell: 4.927 4.927 12.771 Å, 90.00 90.00 90.00°
Space group I4/mmm (No. 139)
Symmetry-distinct sites (fractional):
Mg 0.000 0.000 0.000
Ge 0.000 0.000 0.209
Ge 0.000 0.500 0.000
Pt 0.000 0.000 0.392

Calculated formation energy, meV/atom: 364

Record 11
DFT (PBE) results for a relaxed structure of ThCr2H8.

Cell: 4.503 7.904 4.438 Å, 90.00 90.00 90.00°
Space group Amm2 (No. 38)
Symmetry-distinct sites (fractional):
Th 0.000 0.000 0.000
Cr 0.500 0.171 0.535
H 0.226 0.231 0.253
H 0.248 0.000 0.501
H 0.500 0.118 0.919

Final energy, eV/f.u.: -55.439

Record 12
DFT (PBE) results for a relaxed structure of BaSr2NiTe.

Cell: 5.705 5.705 5.826 Å, 90.00 90.00 90.00°
Space group P4/mmm (No. 123)
Symmetry-distinct sites (fractional):
Ba 0.000 0.000 0.000
Sr 0.000 0.500 0.500
Ni 0.000 0.000 0.500
Te 0.500 0.500 0.000

Uncorrected formation energy, eV per atom: -0.433